## Ba2SrSe2 (PBE)

Data for a relaxed Ba2SrSe2 crystal.

Geometry as POSCAR:
```
Ba2SrSe2
1.0
-0.3062 -6.1046 -6.2373
-5.4577 -4.7363 4.9036
-3.6245 2.1660 -1.9419
Se Ba Sr
4 4 2
Direct
0.6570 0.1570 0.0000
0.8430 0.6570 0.0000
0.3430 0.8430 0.0000
0.1570 0.3430 0.0000
0.6538 0.8462 0.5000
0.8462 0.3462 0.5000
0.1538 0.6538 0.5000
0.3462 0.1538 0.5000
0.5000 0.5000 0.0000
0.0000 0.0000 0.0000
```

## Properties
Total magnetic moment in μB per atom: 0.000
ΔE_f (raw) in eV/atom: -1.5274